The following is a DFT calculation (PBE-GGA) of a geometry-optimized KSiHg2F8 structure.

a = 5.2533 Å, b = 5.5008 Å, c = 6.6588 Å
α = 87.53°, β = 90.06°, γ = 93.33°
Closest atoms and distances in Å follow each position.
Sites, in units of the cell vectors:
Si 0.0000 0.0000 0.0000  6 F 1.71-1.73
K 0.0000 0.0000 0.5000  8 F 2.69-2.76
F 0.5820 0.2787 0.5257  2 Hg 2.23-2.40
F 0.0562 0.2516 0.8371  1 Si 1.73
F 0.1901 0.8355 0.8559  1 Si 1.71
F 0.7437 0.9088 0.8562  1 Si 1.71
F 0.4180 0.7213 0.4743  2 Hg 2.23-2.40
F 0.8099 0.1645 0.1441  1 Si 1.71
F 0.9438 0.7484 0.1629  1 Si 1.73
F 0.2563 0.0912 0.1438  1 Si 1.71
Hg 0.5049 0.4986 0.2139  2 F 2.23-2.40
Hg 0.4951 0.5014 0.7861  2 F 2.23-2.40

Properties
SG: P-1
Formation energy (no corrections) (eV per atom): -2.2811
Size of the total moment (μB per formula unit): 0.000
Raw total energy (eV/f.u.): -49.47

The following is a DFT calculation (PBE-GGA) of a geometry-optimized CaSi2Pb structure.

a = 6.0207 Å, b = 6.0207 Å, c = 4.9241 Å
α = 66.70°, β = 66.70°, γ = 36.14°
Closest atoms and distances in Å follow each position.
Sites, in units of the cell vectors:
Si 0.9320 0.9320 0.0600  2 Si 2.43
Si 0.2834 0.2834 0.2227  2 Si 2.43
Pb 0.7548 0.7548 0.7496  6 Si 3.01-3.15
Ca 0.5298 0.5298 0.4677  8 Si 3.23-3.61, 4 Pb 3.40-3.42

Properties
SG: Cm
Formation energy (no corrections) (eV per atom): -0.0613
Size of the total moment (μB per formula unit): 0.000
Raw total energy (eV/f.u.): -16.80

The following is a DFT calculation (PBE-GGA) of a geometry-optimized Er2Ga3Cu4Pd structure.

a = 3.9323 Å, b = 3.9323 Å, c = 11.0035 Å
α = 90.00°, β = 90.00°, γ = 90.00°
Closest atoms and distances in Å follow each position.
Sites, in units of the cell vectors:
Er 0.0000 0.5000 0.7459  4 Cu 2.98, 4 Ga 3.08
Er 0.5000 0.0000 0.2541  4 Cu 2.98, 4 Ga 3.08
Ga 0.0000 0.0000 0.5000  4 Cu 2.56, 4 Pd 2.78
Ga 0.0000 0.5000 0.1339  5 Cu 2.39-2.46
Ga 0.5000 0.0000 0.8661  5 Cu 2.39-2.46
Cu 0.5000 0.0000 0.6493  3 Ga 2.39-2.56, 2 Pd 2.56
Cu 0.0000 0.5000 0.3507  3 Ga 2.39-2.56, 2 Pd 2.56
Cu 0.5000 0.5000 0.0000  4 Ga 2.46
Cu 0.0000 0.0000 0.0000  4 Ga 2.46
Pd 0.5000 0.5000 0.5000  4 Cu 2.56, 4 Ga 2.78

Properties
SG: P-4m2
Calculated formation energy (eV per atom): -0.42
Size of the total moment (μB per formula unit): 0.000
Raw total energy (eV/f.u.): -43.96

The following is a DFT calculation (PBE-GGA) of a geometry-optimized Dy2Ho3Cd3 structure.

a = 3.7204 Å, b = 5.3167 Å, c = 11.5262 Å
α = 103.33°, β = 99.29°, γ = 90.00°
Closest atoms and distances in Å follow each position.
Sites, in units of the cell vectors:
Ho 0.6230 0.6230 0.2459  6 Cd 3.25-3.30, 2 Dy 3.61
Ho 0.5000 0.0000 0.0000  8 Cd 3.18-3.24
Ho 0.3770 0.3770 0.7541  6 Cd 3.25-3.30, 2 Dy 3.61
Cd 0.0000 0.5000 0.0000  8 Ho 3.24-3.30
Cd 0.1165 0.1165 0.2331  6 Ho 3.18-3.25, 2 Dy 3.18
Cd 0.8835 0.8835 0.7669  6 Ho 3.18-3.25, 2 Dy 3.18
Dy 0.7334 0.2334 0.4668  2 Cd 3.18, 4 Dy 3.33
Dy 0.2666 0.7666 0.5332  2 Cd 3.18, 4 Dy 3.33

Properties
SG: Immm
Calculated formation energy (eV per atom): -0.23
Size of the total moment (μB per formula unit): 0.000
Raw total energy (eV/f.u.): -27.56

The following is a DFT calculation (PBE-GGA) of a geometry-optimized Ga2Hg3Au9 structure.

a = 4.3318 Å, b = 9.1235 Å, c = 9.1235 Å
α = 66.71°, β = 76.27°, γ = 76.27°
Closest atoms and distances in Å follow each position.
Sites, in units of the cell vectors:
Ga 0.5000 0.3367 0.6633  6 Au 2.72-2.73
Ga 0.5000 0.6633 0.3367  6 Au 2.72-2.73
Au 0.0000 0.5000 0.5000  4 Ga 2.72, 4 Au 2.87
Au 0.7113 0.6102 0.9671  2 Hg 2.82, 5 Au 2.83-2.88
Au 0.9024 0.3495 0.8457  2 Ga 2.73, 5 Au 2.83-2.88, 1 Hg 2.90
Au 0.7113 0.9671 0.6102  2 Hg 2.82, 5 Au 2.83-2.88
Au 0.9024 0.8457 0.3495  2 Ga 2.73, 5 Au 2.83-2.88, 1 Hg 2.90
Au 0.2887 0.3898 0.0329  2 Hg 2.82, 5 Au 2.83-2.88
Au 0.2887 0.0329 0.3898  2 Hg 2.82, 5 Au 2.83-2.88
Au 0.0976 0.1543 0.6505  2 Ga 2.73, 5 Au 2.83-2.88, 1 Hg 2.90
Au 0.0976 0.6505 0.1543  2 Ga 2.73, 5 Au 2.83-2.88, 1 Hg 2.90
Hg 0.7740 0.2260 0.2260  6 Au 2.82-3.15
Hg 0.2260 0.7740 0.7740  6 Au 2.82-3.15
Hg 0.0000 0.0000 0.0000  4 Au 2.90

Properties
SG: Immm
Calculated formation energy (eV per atom): 0.05
Size of the total moment (μB per formula unit): 0.000
Raw total energy (eV/f.u.): -35.72

The following is a DFT calculation (PBE-GGA) of a geometry-optimized CaCeNd2Tl4 structure.

a = 5.5013 Å, b = 5.5013 Å, c = 9.6575 Å
α = 73.45°, β = 73.45°, γ = 60.00°
Closest atoms and distances in Å follow each position.
Sites, in units of the cell vectors:
Tl 0.1264 0.1264 0.6208  3 Ce 3.36, 4 Nd 3.43-3.50, 1 Ca 3.46
Tl 0.6235 0.6235 0.1295  4 Nd 3.32-3.34, 1 Ce 3.38, 3 Ca 3.39
Tl 0.3765 0.3765 0.8705  4 Nd 3.32-3.34, 1 Ce 3.38, 3 Ca 3.39
Tl 0.8736 0.8736 0.3792  3 Ce 3.36, 4 Nd 3.43-3.50, 1 Ca 3.46
Ce 0.5000 0.5000 0.5000  8 Tl 3.36-3.38
Ca 0.0000 0.0000 0.0000  8 Tl 3.39-3.46
Nd 0.7455 0.7455 0.7634  8 Tl 3.32-3.50
Nd 0.2545 0.2545 0.2366  8 Tl 3.32-3.50

Properties
SG: R-3m
Calculated formation energy (eV per atom): -0.35
Size of the total moment (μB per formula unit): 1.065
Raw total energy (eV/f.u.): -29.72

The following is a DFT calculation (PBE-GGA) of a geometry-optimized Pm3SmCd8 structure.

a = 6.0634 Å, b = 6.0634 Å, c = 9.4709 Å
α = 90.00°, β = 90.00°, γ = 120.00°
Closest atoms and distances in Å follow each position.
Sites, in units of the cell vectors:
Cd 0.1628 0.3256 0.2503  6 Cd 2.96-3.10
Cd 0.9925 0.4962 0.7498  6 Cd 2.96-3.10
Cd 0.3333 0.6667 0.5000  6 Cd 2.97
Cd 0.3333 0.6667 0.0001  6 Cd 2.97
Cd 0.1628 0.8372 0.2503  6 Cd 2.96-3.10
Cd 0.5038 0.4962 0.7498  6 Cd 2.96-3.10
Cd 0.5038 0.0075 0.7498  6 Cd 2.96-3.10
Cd 0.6744 0.8372 0.2503  6 Cd 2.96-3.10
Pm 0.6667 0.3333 0.4419  12 Cd 3.38-3.54, 1 Pm 3.63, 3 Sm 3.67
Pm 0.6667 0.3333 0.0586  12 Cd 3.39-3.54, 4 Pm 3.63-3.67
Pm 0.0000 0.0000 0.9412  12 Cd 3.39-3.54, 1 Sm 3.63, 3 Pm 3.67
Sm 0.0000 0.0000 0.5579  12 Cd 3.38-3.54, 4 Pm 3.63-3.67

Properties
SG: P3m1
Calculated formation energy (eV per atom): -0.29
Size of the total moment (μB per formula unit): 0.001
Raw total energy (eV/f.u.): -29.79

The following is a DFT calculation (PBE-GGA) of a geometry-optimized Pr5Ni2Pb5 structure.

a = 4.5307 Å, b = 8.7486 Å, c = 9.2442 Å
α = 82.76°, β = 75.81°, γ = 74.99°
Closest atoms and distances in Å follow each position.
Sites, in units of the cell vectors:
Pb 0.7459 0.3098 0.1984  2 Ni 2.71
Pb 0.2541 0.6902 0.8016  2 Ni 2.71
Pb 0.0000 0.0000 0.0000  4 Pb 3.26-3.58, 4 Pr 3.58
Pb 0.0596 0.2310 0.6497  1 Ni 2.71
Pb 0.9404 0.7690 0.3503  1 Ni 2.71
Pr 0.6917 0.9345 0.6822  5 Pb 3.20-3.38, 1 Ni 3.46
Pr 0.6204 0.6783 0.0808  3 Ni 3.17-3.30, 5 Pb 3.22-3.43
Pr 0.5000 0.5000 0.5000  4 Ni 3.21, 6 Pb 3.24-3.42
Pr 0.3083 0.0655 0.3178  5 Pb 3.20-3.38, 1 Ni 3.46
Pr 0.3796 0.3217 0.9192  3 Ni 3.17-3.30, 5 Pb 3.22-3.43
Ni 0.8613 0.5263 0.7512  3 Pb 2.71
Ni 0.1387 0.4737 0.2488  3 Pb 2.71

Properties
SG: C2/m
Calculated formation energy (eV per atom): -0.45
Size of the total moment (μB per formula unit): 0.000
Raw total energy (eV/f.u.): -59.39

The following is a DFT calculation (PBE-GGA) of a geometry-optimized BeFe4Co structure.

a = 4.5932 Å, b = 4.5932 Å, c = 4.5932 Å
α = 60.00°, β = 60.00°, γ = 60.00°
Closest atoms and distances in Å follow each position.
Sites, in units of the cell vectors:
Co 0.0000 0.0000 0.0000  12 Fe 2.69, 4 Be 2.81
Be 0.2500 0.2500 0.2500  12 Fe 2.69, 4 Co 2.81
Fe 0.6250 0.1250 0.6250  6 Fe 2.30
Fe 0.6250 0.6250 0.6250  6 Fe 2.30
Fe 0.1250 0.6250 0.6250  6 Fe 2.30
Fe 0.6250 0.6250 0.1250  6 Fe 2.30

Properties
Energy relative to the lowest polymorph listed for this composition (meV/atom): 284
SG: F-43m
Calculated formation energy (eV per atom): 0.24
Size of the total moment (μB per formula unit): 9.011
Raw total energy (eV/f.u.): -43.26

The following is a DFT calculation (PBE-GGA) of a geometry-optimized MnSiAsSe2 structure.

a = 4.7656 Å, b = 4.7656 Å, c = 4.7304 Å
α = 90.00°, β = 90.00°, γ = 90.00°
Closest atoms and distances in Å follow each position.
Sites, in units of the cell vectors:
As 0.0000 0.0000 0.5000  2 Si 2.37
Se 0.5000 0.0000 0.0000  2 Si 2.38
Se 0.0000 0.5000 0.0000  2 Si 2.38
Mn 0.5000 0.5000 0.5000  8 Se 3.36, 4 As 3.37
Si 0.0000 0.0000 0.0000  2 As 2.37, 4 Se 2.38

Properties
Energy relative to the lowest polymorph listed for this composition (meV/atom): 428
SG: P4/mmm
Formation energy (no corrections) (eV per atom): 1.0457
Size of the total moment (μB per formula unit): 0.129
Raw total energy (eV/f.u.): -20.98

The following is a DFT calculation (PBE-GGA) of a geometry-optimized Re2TeMo structure.

a = 5.0761 Å, b = 5.0761 Å, c = 4.6294 Å
α = 83.84°, β = 83.84°, γ = 35.08°
Closest atoms and distances in Å follow each position.
Sites, in units of the cell vectors:
Re 0.5185 0.5185 0.4694  2 Re 2.60, 1 Te 2.71, 3 Mo 2.81-2.90
Re 0.9815 0.9815 0.0306  2 Re 2.60, 1 Te 2.71, 3 Mo 2.81-2.90
Te 0.7500 0.7500 0.7500  2 Re 2.71, 4 Mo 2.77
Mo 0.2500 0.2500 0.2500  4 Te 2.77, 6 Re 2.81-2.90, 2 Mo 3.06

Properties
SG: C2/m
Formation energy (no corrections) (eV per atom): 0.5644
Size of the total moment (μB per formula unit): 0.000
Raw total energy (eV/f.u.): -36.61

The following is a DFT calculation (PBE-GGA) of a geometry-optimized LiMnPb4 structure.

a = 6.4173 Å, b = 6.4173 Å, c = 6.4173 Å
α = 60.00°, β = 60.00°, γ = 60.00°
Closest atoms and distances in Å follow each position.
Sites, in units of the cell vectors:
Pb 0.3746 0.8762 0.3746  6 Pb 3.20-3.22
Pb 0.3746 0.3746 0.3746  6 Pb 3.20-3.22
Pb 0.3746 0.3746 0.8762  6 Pb 3.20-3.22
Pb 0.8762 0.3746 0.3746  6 Pb 3.20-3.22
Mn 0.0000 0.0000 0.0000  12 Pb 3.76, 4 Li 3.93
Li 0.7500 0.7500 0.7500  12 Pb 3.76, 4 Mn 3.93

Properties
SG: F-43m
Calculated formation energy (eV per atom): 0.41
Size of the total moment (μB per formula unit): 4.742
Raw total energy (eV/f.u.): -23.46